# Tl2TcBr meta-GGA SCAN PBEsol geometry
data_Tl2TcBr
_chemical_formula_sum 'Tl2 Tc1 Br1'
_cell_length_a 3.349
_cell_length_b 5.109
_cell_length_c 5.393
_cell_angle_alpha 90.00
_cell_angle_beta 96.63
_cell_angle_gamma 90.00
_symmetry_space_group_name_H-M 'P 1 2/m 1'
_symmetry_Int_Tables_number 10
_symmetry_space_group_name_Hall '-P 2y'
loop_
_atom_site_label
_atom_site_type_symbol
_atom_site_fract_x
_atom_site_fract_y
_atom_site_fract_z
Tl1 Tl 0.174 0.000 0.262
Tc1 Tc 0.500 0.500 0.500
Br1 Br 0.500 0.500 0.000
# Magnetization ... 2.7 μB/f.u.
# Uncorrected formation energy ... 0.614 eV per atom
# Mass density ... 10.63 g/cm³



# Cu4Pt7 meta-GGA SCAN PBEsol geometry
data_Cu4Pt7
_chemical_formula_sum 'Cu4 Pt7'
_cell_length_a 4.641
_cell_length_b 4.695
_cell_length_c 7.119
_cell_angle_alpha 83.49
_cell_angle_beta 89.96
_cell_angle_gamma 80.67
_symmetry_space_group_name_H-M 'P -1'
_symmetry_Int_Tables_number 2
_symmetry_space_group_name_Hall '-P 1'
loop_
_atom_site_label
_atom_site_type_symbol
_atom_site_fract_x
_atom_site_fract_y
_atom_site_fract_z
Cu1 Cu 0.092 0.455 0.182
Cu2 Cu 0.180 0.909 0.365
Pt1 Pt 0.000 0.000 0.000
Pt2 Pt 0.267 0.364 0.544
Pt3 Pt 0.361 0.820 0.725
Pt4 Pt 0.454 0.275 0.907
# Magnetization ... 0.0 μB/f.u.
# Relative energy among the computed polymorphs ... 0.0000 eV per atom
# Formation enthalpy at 0 K ... -123 meV per atom
# Mass density ... 17.69 g/cm³



# Fe2Ir meta-GGA SCAN PBEsol geometry
data_Fe2Ir
_chemical_formula_sum 'Fe8 Ir4'
_cell_length_a 5.079
_cell_length_b 3.655
_cell_length_c 7.660
_cell_angle_alpha 90.00
_cell_angle_beta 90.00
_cell_angle_gamma 90.00
_symmetry_space_group_name_H-M 'P n m a'
_symmetry_Int_Tables_number 62
_symmetry_space_group_name_Hall '-P 2ac 2n'
loop_
_atom_site_label
_atom_site_type_symbol
_atom_site_fract_x
_atom_site_fract_y
_atom_site_fract_z
Fe1 Fe 0.123 0.250 0.080
Fe2 Fe 0.124 0.250 0.747
Ir1 Ir 0.133 0.250 0.410
# Magnetization ... 0.0 μB/f.u.
# Formation enthalpy at 0 K ... -142 meV per atom
# Mass density ... 14.20 g/cm³



# BaLi2In meta-GGA SCAN PBEsol geometry
data_BaLi2In
_chemical_formula_sum 'Ba2 Li4 In2'
_cell_length_a 8.491
_cell_length_b 4.901
_cell_length_c 6.514
_cell_angle_alpha 90.00
_cell_angle_beta 115.68
_cell_angle_gamma 90.00
_symmetry_space_group_name_H-M 'C 1 m 1'
_symmetry_Int_Tables_number 8
_symmetry_space_group_name_Hall 'C -2y'
loop_
_atom_site_label
_atom_site_type_symbol
_atom_site_fract_x
_atom_site_fract_y
_atom_site_fract_z
Ba1 Ba 0.000 0.000 0.000
Li1 Li 0.010 0.500 0.531
Li2 Li 0.313 0.500 0.439
In1 In 0.201 0.000 0.603
# Magnetization ... 0.4 μB/f.u.
# Formation enthalpy at 0 K ... -287 meV per atom
# Mass density ... 3.62 g/cm³



# Be2CoCu meta-GGA SCAN PBEsol geometry
data_Be2CoCu
_chemical_formula_sum 'Be2 Co1 Cu1'
_cell_length_a 3.653
_cell_length_b 3.653
_cell_length_c 2.651
_cell_angle_alpha 90.00
_cell_angle_beta 90.00
_cell_angle_gamma 90.00
_symmetry_space_group_name_H-M 'P 4/m m m'
_symmetry_Int_Tables_number 123
_symmetry_space_group_name_Hall '-P 4 2'
loop_
_atom_site_label
_atom_site_type_symbol
_atom_site_fract_x
_atom_site_fract_y
_atom_site_fract_z
Be1 Be 0.000 0.500 0.000
Co1 Co 0.000 0.000 0.500
Cu1 Cu 0.500 0.500 0.500
# Magnetization ... 0.0 μB/f.u.
# Formation enthalpy at 0 K ... -286 meV per atom
# Mass density ... 6.60 g/cm³



# Sc3As meta-GGA SCAN PBEsol geometry
data_Sc3As
_chemical_formula_sum 'Sc6 As2'
_cell_length_a 5.939
_cell_length_b 8.669
_cell_length_c 3.143
_cell_angle_alpha 90.00
_cell_angle_beta 90.00
_cell_angle_gamma 90.00
_symmetry_space_group_name_H-M 'C m m m'
_symmetry_Int_Tables_number 65
_symmetry_space_group_name_Hall '-C 2 2'
loop_
_atom_site_label
_atom_site_type_symbol
_atom_site_fract_x
_atom_site_fract_y
_atom_site_fract_z
Sc1 Sc 0.000 0.000 0.000
Sc2 Sc 0.250 0.250 0.500
As1 As 0.000 0.500 0.000
# Magnetization ... 0.0 μB/f.u.
# Formation enthalpy at 0 K ... -336 meV per atom
# Mass density ... 4.31 g/cm³



# ScTcPO2 meta-GGA SCAN PBEsol geometry
data_ScTcPO2
_chemical_formula_sum 'Sc1 Tc1 P1 O2'
_cell_length_a 3.839
_cell_length_b 3.839
_cell_length_c 5.441
_cell_angle_alpha 90.00
_cell_angle_beta 90.00
_cell_angle_gamma 90.00
_symmetry_space_group_name_H-M 'P 4/m m m'
_symmetry_Int_Tables_number 123
_symmetry_space_group_name_Hall '-P 4 2'
loop_
_atom_site_label
_atom_site_type_symbol
_atom_site_fract_x
_atom_site_fract_y
_atom_site_fract_z
Sc1 Sc 0.000 0.000 0.000
Tc1 Tc 0.500 0.500 0.500
P1 P 0.000 0.000 0.500
O1 O 0.000 0.500 0.000
# Magnetization ... 4.6 μB/f.u.
# Uncorrected formation energy ... -0.777 eV per atom
# Mass density ... 4.26 g/cm³



# LaHfCu2 meta-GGA SCAN PBEsol geometry
data_LaHfCu2
_chemical_formula_sum 'La4 Hf4 Cu8'
_cell_length_a 6.777
_cell_length_b 6.777
_cell_length_c 6.777
_cell_angle_alpha 90.00
_cell_angle_beta 90.00
_cell_angle_gamma 90.00
_symmetry_space_group_name_H-M 'F m -3 m'
_symmetry_Int_Tables_number 225
_symmetry_space_group_name_Hall '-F 4 2 3'
loop_
_atom_site_label
_atom_site_type_symbol
_atom_site_fract_x
_atom_site_fract_y
_atom_site_fract_z
La1 La 0.000 0.000 0.000
Hf1 Hf 0.000 0.000 0.500
Cu1 Cu 0.250 0.250 0.250
# Magnetization ... 0.5 μB/f.u.
# Formation enthalpy at 0 K ... 68 meV per atom
# Mass density ... 9.49 g/cm³



# SrLiHg meta-GGA SCAN PBEsol geometry
data_SrLiHg
_chemical_formula_sum 'Sr1 Li1 Hg1'
_cell_length_a 4.7503
_cell_length_b 4.7503
_cell_length_c 4.2946
_cell_angle_alpha 90.00
_cell_angle_beta 90.00
_cell_angle_gamma 120.00
_symmetry_space_group_name_H-M 'P -6 m 2'
_symmetry_Int_Tables_number 187
_symmetry_space_group_name_Hall 'P -6 2'
loop_
_atom_site_label
_atom_site_type_symbol
_atom_site_fract_x
_atom_site_fract_y
_atom_site_fract_z
Sr1 Sr 0.0000 0.0000 0.0000
Li1 Li 0.3333 0.6667 0.5000
Hg1 Hg 0.6667 0.3333 0.5000
# Magnetization ... 0.0 μB/f.u.
# Relative energy among the computed polymorphs ... 0.0000 eV per atom
# Formation enthalpy at 0 K ... -493 meV per atom
# Mass density ... 5.84 g/cm³



# SbHOsI2 meta-GGA SCAN PBEsol geometry
data_SbHOsI2
_chemical_formula_sum 'Sb1 H1 Os1 I2'
_cell_length_a 5.108
_cell_length_b 5.108
_cell_length_c 3.726
_cell_angle_alpha 90.00
_cell_angle_beta 90.00
_cell_angle_gamma 90.00
_symmetry_space_group_name_H-M 'P 4/m m m'
_symmetry_Int_Tables_number 123
_symmetry_space_group_name_Hall '-P 4 2'
loop_
_atom_site_label
_atom_site_type_symbol
_atom_site_fract_x
_atom_site_fract_y
_atom_site_fract_z
Sb1 Sb 0.000 0.000 0.000
H1 H 0.000 0.000 0.500
Os1 Os 0.500 0.500 0.000
I1 I 0.000 0.500 0.500
# Magnetization ... 0.0 μB/f.u.
# Total energy ... -178.31 eV/cell
# Mass density ... 9.68 g/cm³



# Na2TmMoPO8 meta-GGA SCAN PBEsol geometry
data_Na2TmMoPO8
_chemical_formula_sum 'Na16 Tm8 Mo8 P8 O64'
_cell_length_a 6.782
_cell_length_b 11.917
_cell_length_c 17.952
_cell_angle_alpha 90.00
_cell_angle_beta 90.00
_cell_angle_gamma 90.00
_symmetry_space_group_name_H-M 'I b c a'
_symmetry_Int_Tables_number 73
_symmetry_space_group_name_Hall '-I 2b 2c'
loop_
_atom_site_label
_atom_site_type_symbol
_atom_site_fract_x
_atom_site_fract_y
_atom_site_fract_z
Na1 Na 0.008 0.058 0.154
Tm1 Tm 0.250 0.180 0.500
Mo1 Mo 0.000 0.250 0.324
P1 P 0.250 0.067 0.000
O1 O 0.037 0.129 0.770
O2 O 0.072 0.149 0.007
O3 O 0.214 0.229 0.381
O4 O 0.241 0.011 0.569
# Magnetization ... 0.0 μB/f.u.
# Uncorrected formation energy ... -2.758 eV per atom
# Mass density ... 4.30 g/cm³



# Zn4Au meta-GGA SCAN PBEsol geometry
data_Zn4Au
_chemical_formula_sum 'Zn8 Au2'
_cell_length_a 6.148
_cell_length_b 6.148
_cell_length_c 3.809
_cell_angle_alpha 90.00
_cell_angle_beta 90.00
_cell_angle_gamma 90.00
_symmetry_space_group_name_H-M 'I 4/m'
_symmetry_Int_Tables_number 87
_symmetry_space_group_name_Hall '-I 4'
loop_
_atom_site_label
_atom_site_type_symbol
_atom_site_fract_x
_atom_site_fract_y
_atom_site_fract_z
Zn1 Zn 0.098 0.694 0.000
Au1 Au 0.000 0.000 0.500
# Magnetization ... 0.0 μB/f.u.
# Formation enthalpy at 0 K ... -129 meV per atom
# Mass density ... 10.58 g/cm³